Entry from the Alexandria database: a geometry-optimized AlTlCrF6 structure (PBE with a Hubbard U).

a = 5.353 Å, b = 5.353 Å, c = 6.001 Å
α = 90.52°, β = 90.52°, γ = 117.55°
Positions (direct):
Al  0.000  0.000  0.000
Tl  0.331  0.669  0.500
Cr  0.665  0.335  0.000
F  0.269  0.010  0.188
F  0.295  0.277  0.843
F  0.723  0.705  0.157
F  0.730  0.039  0.825
F  0.961  0.270  0.175
F  0.990  0.731  0.812

E_tot   -50.5 eV for the cell shown
Fermi-level density of states   0.00 states/eV per atom